(1)
The following is a PBE-GGA calculation of a geometry-optimized TiNb2H6 structure, from Alexandria via LeMat-Bulk.

Calculated values
- space group = No. 12
- final energy (eV/atom) = -5.6929

Unit cell a=5.525 b=5.525 c=3.185 alpha=106.61 beta=106.61 gamma=48.16
Sites, in units of the cell vectors:
Ti 0.000 0.000 0.000
Nb 0.334 0.334 0.334
Nb 0.666 0.666 0.666
H 0.082 0.590 0.836
H 0.242 0.758 0.500
H 0.410 0.918 0.164
H 0.590 0.082 0.836
H 0.758 0.242 0.500
H 0.918 0.410 0.164

---

(2)
The following is a PBE-GGA calculation of a geometry-optimized TiNbH4 structure, from Alexandria via LeMat-Bulk.

Calculated values
- space group = No. 141
- excess energy over the best structure of this formula in the dataset (eV/atom) = 0.000
- final energy (eV/atom) = -5.6121

Unit cell a=5.504 b=5.504 c=5.504 alpha=132.03 beta=132.03 gamma=70.18
Sites, in units of the cell vectors:
Ti 0.375 0.625 0.750
Ti 0.625 0.375 0.250
Nb 0.125 0.875 0.250
Nb 0.875 0.125 0.750
H 0.000 0.258 0.258
H 0.000 0.742 0.742
H 0.258 0.000 0.758
H 0.258 0.500 0.258
H 0.500 0.258 0.758
H 0.500 0.742 0.242
H 0.742 0.000 0.242
H 0.742 0.500 0.742

---

(3)
The following is a PBE-GGA calculation of a geometry-optimized Ti2NbH structure, from Alexandria via LeMat-Bulk.

Calculated values
- space group = No. 225
- excess energy over the best structure of this formula in the dataset (eV/atom) = 0.721
- final energy (eV/atom) = -6.6447

Unit cell a=6.180 b=6.180 c=6.180 alpha=90.00 beta=90.00 gamma=90.00
Sites, in units of the cell vectors:
Ti 0.250 0.250 0.250
Ti 0.250 0.250 0.750
Ti 0.250 0.750 0.250
Ti 0.250 0.750 0.750
Ti 0.750 0.250 0.250
Ti 0.750 0.250 0.750
Ti 0.750 0.750 0.250
Ti 0.750 0.750 0.750
Nb 0.000 0.000 0.000
Nb 0.000 0.500 0.500
Nb 0.500 0.000 0.500
Nb 0.500 0.500 0.000
H 0.000 0.000 0.500
H 0.000 0.500 0.000
H 0.500 0.000 0.000
H 0.500 0.500 0.500

---

(4)
The following is a PBE-GGA calculation of a geometry-optimized TiNbH3 structure, from Alexandria via LeMat-Bulk.

Calculated values
- space group = No. 155
- excess energy over the best structure of this formula in the dataset (eV/atom) = 0.000
- final energy (eV/atom) = -5.8744

Unit cell a=4.898 b=4.898 c=4.898 alpha=60.58 beta=60.58 gamma=60.58
Sites, in units of the cell vectors:
Ti 0.126 0.126 0.126
Ti 0.874 0.874 0.874
Nb 0.374 0.374 0.374
Nb 0.626 0.626 0.626
H 0.004 0.493 0.759
H 0.241 0.507 0.996
H 0.493 0.759 0.004
H 0.507 0.996 0.241
H 0.759 0.004 0.493
H 0.996 0.241 0.507

---

(5)
The following is a PBE-GGA calculation of a geometry-optimized TiNbH structure, from Alexandria via LeMat-Bulk.

Calculated values
- space group = No. 156
- excess energy over the best structure of this formula in the dataset (eV/atom) = 0.150
- final energy (eV/atom) = -7.1678

Unit cell a=2.927 b=2.927 c=5.053 alpha=90.00 beta=90.00 gamma=120.00
Sites, in units of the cell vectors:
Ti 0.000 0.000 0.000
Nb 0.667 0.333 0.486
H 0.333 0.667 0.760

---

(6)
The following is a PBE-GGA calculation of a geometry-optimized Ti2NbH2 structure, from Alexandria via LeMat-Bulk.

Calculated values
- space group = No. 139
- excess energy over the best structure of this formula in the dataset (eV/atom) = 0.000
- final energy (eV/atom) = -6.7507

Unit cell a=3.287 b=3.287 c=10.397 alpha=90.00 beta=90.00 gamma=90.00
Sites, in units of the cell vectors:
Ti 0.000 0.000 0.154
Ti 0.000 0.000 0.846
Ti 0.500 0.500 0.346
Ti 0.500 0.500 0.654
Nb 0.000 0.000 0.500
Nb 0.500 0.500 0.000
H 0.000 0.500 0.250
H 0.000 0.500 0.750
H 0.500 0.000 0.250
H 0.500 0.000 0.750

---

(7)
The following is a PBE-GGA calculation of a geometry-optimized TiNbH2 structure, from Alexandria via LeMat-Bulk.

Calculated values
- space group = No. 122
- excess energy over the best structure of this formula in the dataset (eV/atom) = 0.000
- final energy (eV/atom) = -6.4717

Unit cell a=4.821 b=4.821 c=6.926 alpha=90.00 beta=90.00 gamma=90.00
Sites, in units of the cell vectors:
Ti 0.000 0.000 0.000
Ti 0.000 0.500 0.250
Ti 0.500 0.000 0.750
Ti 0.500 0.500 0.500
Nb 0.000 0.000 0.500
Nb 0.000 0.500 0.750
Nb 0.500 0.000 0.250
Nb 0.500 0.500 0.000
H 0.240 0.250 0.125
H 0.250 0.740 0.375
H 0.250 0.760 0.875
H 0.260 0.250 0.625
H 0.740 0.750 0.625
H 0.750 0.240 0.875
H 0.750 0.260 0.375
H 0.760 0.750 0.125

---

(8)
The following is a PBE-GGA calculation of a geometry-optimized TiNb2H2 structure, from Alexandria via LeMat-Bulk.

Calculated values
- space group = No. 127
- excess energy over the best structure of this formula in the dataset (eV/atom) = 0.453
- final energy (eV/atom) = -6.7194

Unit cell a=6.440 b=6.440 c=2.872 alpha=90.00 beta=90.00 gamma=90.00
Sites, in units of the cell vectors:
Ti 0.000 0.000 0.000
Ti 0.500 0.500 0.000
Nb 0.159 0.341 0.500
Nb 0.341 0.841 0.500
Nb 0.659 0.159 0.500
Nb 0.841 0.659 0.500
H 0.177 0.677 0.000
H 0.323 0.177 0.000
H 0.677 0.823 0.000
H 0.823 0.323 0.000